Record 1
A plane-wave DFT calculation with GGA-PBE was carried out for an optimized crystal structure of Sc6TlSe3S2.

The formation energy (no corrections) comes out at -17.09 eV per formula unit. Its calculated density is 5.24 Mg/m³. Its crystal system is monoclinic. The calculation puts the total magnetization at 0.00 Bohr magnetons per cell. The uncorrected energy comes out at -6.35 eV/atom.

The structure belongs to space group C2/m (No. 12); the cell edges are 16.874, 3.772 and 7.927 Å and the angles 90.00°, 103.20° and 90.00°. The distinct sites, in fractional coordinates, are Sc at (0.009, 0.000, 0.270), Sc at (0.174, 0.500, 0.110), Sc at (0.174, 0.500, 0.572), Tl at (0.000, 0.500, 0.000), Se at (0.000, 0.500, 0.500), Se at (0.163, 0.000, 0.832) and S at (0.169, 0.000, 0.340).



Record 2
A plane-wave DFT calculation with GGA-PBE was carried out for an optimized crystal structure of BaCo2Sn.

As for the formation energy: 263 meV per atom. Its calculated density is 5.81 Mg/m³. Its crystal system is tetragonal. The calculation puts the total magnetization at 10.16 Bohr magnetons per cell. The uncorrected energy comes out at -4.77 eV/atom.

The structure belongs to space group I4_1/amd (No. 141, origin choice 2); the cell edges are 4.934, 4.934 and 17.561 Å and the angles 90.00°, 90.00° and 90.00°. The distinct sites, in fractional coordinates, are Ba at (0.000, 0.250, 0.375), Co at (0.000, 0.000, 0.000) and Sn at (0.000, 0.250, 0.875).



Summary of volume in Å³/f.u.
245.6 106.9
(order as listed above)